No. 1
Here is an optimized crystal structure of Dy4SnTeSe2 from Alexandria. Energies are from PBE.

a b c (Å): 4.228 7.326 7.355
angles (deg): 70.58 90.00 90.00
Atoms (fractional coordinates):
Dy: 0.500 0.231 0.766
Dy: 0.500 0.769 0.234
Dy: 0.000 0.238 0.248
Dy: 0.000 0.762 0.752
Se: 0.500 0.000 0.500
Se: 0.000 0.000 0.000
Te: 0.000 0.500 0.500
Sn: 0.500 0.500 0.000

## Properties
- raw formation energy (eV/atom) = -1.3952
- space group = P2/m, No. 10

=====

No. 2
Here is an optimized crystal structure of Ti6Ga3Bi from Alexandria. Energies are from PBE.

a b c (Å): 6.693 7.688 7.688
angles (deg): 110.66 90.00 90.00
Atoms (fractional coordinates):
Ti: 0.119 0.769 0.679
Ti: 0.619 0.231 0.321
Ti: 0.285 0.515 0.899
Ti: 0.619 0.679 0.769
Ti: 0.634 0.300 0.700
Ti: 0.285 0.101 0.485
Ti: 0.785 0.899 0.515
Ti: 0.119 0.321 0.231
Ti: 0.134 0.700 0.300
Ti: 0.785 0.485 0.101
Ti: 0.755 0.029 0.971
Ti: 0.255 0.971 0.029
Bi: 0.032 0.190 0.810
Bi: 0.532 0.810 0.190
Ga: 0.957 0.719 0.971
Ga: 0.842 0.537 0.463
Ga: 0.342 0.463 0.537
Ga: 0.457 0.281 0.029
Ga: 0.957 0.029 0.281
Ga: 0.457 0.971 0.719

## Properties
- space group = Cmc2_1, No. 36
- ΔH_f (0 K) (meV per atom) = -128